[1]
A plane-wave DFT calculation with PBE was carried out for a relaxed PbAu2Se crystal.

Output
The calculation puts the density of states at the Fermi level at 0.2422 states/eV/atom. As for the space group: I-4m2 (119). The total energy comes out at -0.2441 Ry per atom. As for the raw formation energy: 0.12 eV/atom. The total magnetization is 0.0 Bohr magnetons per cell.

Lattice parameters (Å, degrees): 6.2719 6.2719 6.2719 142.19 142.19 54.54
Element x y z (fractional)
Pb 0.0000 0.0000 0.0000
Au 0.5000 0.5000 0.0000
Au 0.7500 0.2500 0.5000
Se 0.2500 0.7500 0.5000

***

[2]
A plane-wave DFT calculation with PBE was carried out for a relaxed PbAu2Se crystal.

Output
The calculation puts the density of states at the Fermi level at 0.5361 states/eV/atom. As for the space group: R-3m (166). The total energy comes out at -0.2519 Ry per atom. As for the raw formation energy: 0.01 eV/atom. The total magnetization is 0.0 Bohr magnetons per cell.

Lattice parameters (Å, degrees): 6.7203 6.7203 6.7203 36.12 36.12 36.12
Element x y z (fractional)
Pb 0.0000 0.0000 0.0000
Au 0.2409 0.2409 0.2409
Au 0.7591 0.7591 0.7591
Se 0.5000 0.5000 0.5000

***

[3]
A plane-wave DFT calculation with PBE was carried out for a relaxed Pb2AuSe crystal.

Output
The calculation puts the density of states at the Fermi level at 0.3846 states/eV/atom. As for the space group: I-42d (122). The total energy comes out at -0.2678 Ry per atom. As for the raw formation energy: -0.10 eV/atom. The total magnetization is 0.0 Bohr magnetons per cell.

Lattice parameters (Å, degrees): 7.8874 7.8874 7.8874 128.89 128.89 75.19
Element x y z (fractional)
Pb 0.1143 0.6250 0.9893
Pb 0.3750 0.3643 0.4893
Pb 0.6357 0.1250 0.0107
Pb 0.8750 0.8857 0.5107
Au 0.0000 0.0000 0.0000
Au 0.7500 0.2500 0.5000
Se 0.2500 0.7500 0.5000
Se 0.5000 0.5000 0.0000